A geometry-optimized LiVSeBr2 structure. Source: the Alexandria database, functional GGA-PBE.

Calculated values
distance to the lowest polymorph of the same formula	0	meV/atom
N(E_F)	1.4	states/eV/f.u.

abc: 5.305 5.305 4.777
angles: 90.00 90.00 90.00
Atoms (fractional coordinates):
Li 0.000 0.000 0.000
V 0.500 0.500 0.500
Se 0.500 0.500 0.000
Br 0.000 0.500 0.500
Br 0.500 0.000 0.500